Crystalline SbRhCI2 at its relaxed geometry. Source: Alexandria, functional GGA-PBE.

Polymorph energy (0 for the lowest one)   9.7 kJ per mole of atoms
V   152.8 Å³/f.u.

abc: 5.5401 5.5401 4.9794
angles: 90.00 90.00 90.00
Each line ends with the local moment (μB).
Sites, in units of the cell vectors:
I 0.5000 0.0000 0.0000  -0.02
I 0.0000 0.5000 0.0000  -0.02
C 0.5000 0.5000 0.5000  0.91
Rh 0.0000 0.0000 0.0000  -0.06
Sb 0.0000 0.0000 0.5000  -0.06